Entry from Alexandria via LeMat-Bulk: MnBe after structural relaxation (GGA-PBEsol).

Geometry as CIF:
```
data_MnBe
_chemical_formula_sum 'Mn2 Be2'
_symmetry_space_group_name_H-M 'P m m n'
_symmetry_Int_Tables_number 59
_cell_length_a 2.3304
_cell_length_b 3.8475
_cell_length_c 4.1679
_cell_angle_alpha 90.00
_cell_angle_beta 90.00
_cell_angle_gamma 90.00
loop_
_symmetry_equiv_pos_as_xyz
'x,y,z'
'-x,-y,-z'
'-x+1/2,-y+1/2,z'
'x+1/2,y+1/2,-z'
'x+1/2,-y,-z'
'-x+1/2,y,z'
'-x,y+1/2,-z'
'x,-y+1/2,z'
loop_
_atom_site_label
_atom_site_type_symbol
_atom_site_fract_x
_atom_site_fract_y
_atom_site_fract_z
Mn1 Mn 0.2500 0.2500 0.0830
Be1 Be 0.2500 0.7500 0.4274
```

Calculated values
calculated formation energy: 0.091 eV per atom
E: -27.16 eV for the cell shown
volume: 9.3 Å³/atom